The following is a PBE-GGA calculation of a relaxed structure of Sr3Te, from Alexandria via LeMat-Bulk.

a = 8.7634 Å, b = 8.7634 Å, c = 6.2775 Å
α = 90.00°, β = 90.00°, γ = 129.90°
Closest atoms and distances in Å follow each position.
Fractional positions:
Sr  0.0755  0.9245  0.7500  2 Te 3.84, 6 Sr 3.95-4.00
Sr  0.0800  0.4309  0.7500  3 Te 3.52-3.67, 4 Sr 3.63-3.93
Sr  0.4309  0.0800  0.2500  3 Te 3.52-3.67, 4 Sr 3.63-3.93
Sr  0.5691  0.9200  0.7500  3 Te 3.52-3.67, 4 Sr 3.63-3.93
Sr  0.9200  0.5691  0.2500  3 Te 3.52-3.67, 4 Sr 3.63-3.93
Sr  0.9245  0.0755  0.2500  2 Te 3.84, 6 Sr 3.95-4.00
Te  0.3619  0.6381  0.2500  8 Sr 3.52-3.84
Te  0.6381  0.3619  0.7500  8 Sr 3.52-3.84

Output
Crystal system = orthorhombic
ΔE_f (raw) = -0.487 eV per atom
E above lowest polymorph = 270 meV/atom
VASP energy = -2.5341 eV per atom
Size of the total moment = 0.000 μB per atom
Fermi-level density of states = 6.52 states/eV/cell